Entry 1:
Computed, not measured: a geometry-optimized SrLa2As2 structure at the PBE level of DFT.

```
5
Lattice="-2.333 2.333 7.036 2.333 -2.333 7.036 2.333 2.333 -7.036" Properties=species:S:1:pos:R:3 pbc="T T T"
Sr 0.000 0.000 0.000
La 2.333 0.000 3.518
La 0.000 2.333 3.518
As 0.000 0.000 5.530
As 0.000 0.000 8.543
```

Computed properties:
Calculated density = 5.59 g/cm3
E above lowest polymorph = 312 meV per atom
Energy of formation from the pure elements = -0.86 eV/atom
M_tot = 0.000 μB/cell
N(E_F) = 3.5 states/eV/cell



Entry 2:
Computed, not measured: a geometry-optimized Sm3HoTh2 structure at the PBE level of DFT.

```
6
Lattice="2.543 -7.596 0.000 2.543 7.596 0.000 0.000 0.000 5.097" Properties=species:S:1:pos:R:3 pbc="T T T"
Sm 0.000 0.000 0.000
Sm 2.543 5.033 2.548
Sm 2.543 -5.033 2.548
Ho 2.543 0.000 2.548
Th 2.543 2.541 0.000
Th 2.543 -2.541 0.000
```

Computed properties:
Calculated density = 9.11 g/cm3
E above lowest polymorph = 20 meV per atom
Energy of formation from the pure elements = 0.06 eV/atom
M_tot = 0.000 μB/cell
N(E_F) = 8.3 states/eV/cell



Entry 3:
Computed, not measured: a geometry-optimized Sr2MgSc structure at the PBE level of DFT.

```
4
Lattice="4.116 -4.130 0.000 4.116 4.130 0.000 0.000 0.000 4.238" Properties=species:S:1:pos:R:3 pbc="T T T"
Sr 2.058 2.065 0.000
Sr 2.058 -2.065 0.000
Mg 0.000 0.000 2.119
Sc 4.116 0.000 2.119
```

Computed properties:
Calculated density = 2.82 g/cm3
Energy of formation from the pure elements = 0.21 eV/atom
M_tot = 0.000 μB/cell
N(E_F) = 4.8 states/eV/cell



Entry 4:
Computed, not measured: a geometry-optimized BeAlSe structure at the PBE level of DFT.

```
3
Lattice="0.000 3.235 5.328 1.695 0.000 5.328 1.695 3.235 0.000" Properties=species:S:1:pos:R:3 pbc="T T T"
Be 0.000 0.000 0.000
Al 1.695 3.235 3.441
Se 1.695 3.235 6.653
```

Computed properties:
Calculated density = 3.27 g/cm3
E above lowest polymorph = 382 meV per atom
M_tot = 0.000 μB/cell
ΔE_f (raw) = 0.18 eV per atom
N(E_F) = 0.6 states/eV/cell



Question: N(E_F) of number 1 (SrLa2As2)?
Answer: 3.5 states/eV/cell



Repeat the second record exactly.
Computed, not measured: a geometry-optimized Sm3HoTh2 structure at the PBE level of DFT.

```
6
Lattice="2.543 -7.596 0.000 2.543 7.596 0.000 0.000 0.000 5.097" Properties=species:S:1:pos:R:3 pbc="T T T"
Sm 0.000 0.000 0.000
Sm 2.543 5.033 2.548
Sm 2.543 -5.033 2.548
Ho 2.543 0.000 2.548
Th 2.543 2.541 0.000
Th 2.543 -2.541 0.000
```

Computed properties:
Calculated density = 9.11 g/cm3
E above lowest polymorph = 20 meV per atom
Energy of formation from the pure elements = 0.06 eV/atom
M_tot = 0.000 μB/cell
N(E_F) = 8.3 states/eV/cell



Question: M_tot of number 2 (Sm3HoTh2)?
Answer: 0.000 μB/cell